1.
## GdYTc (PBE-GGA)

Data for a relaxed GdYTc crystal.

Structure (POSCAR):
```
GdYTc
1.0
-1.739 1.739 6.304
1.739 -1.739 6.304
1.739 1.739 -6.304
Gd Y Tc
1 1 1
Cartesian
0.000 0.000 0.000
0.000 0.000 3.278
0.000 0.000 7.935
```

Computed properties:
- space-group type = I4mm (107)
- DFT total energy (eV per formula unit) = -30.9
- ΔE_f (meV/atom) = -12.5

***

2.
## GdYZnTc (PBE-GGA)

Data for a relaxed GdYZnTc crystal.

Structure (POSCAR):
```
GdYZnTc
1.0
0.000 3.504 3.504
3.504 0.000 3.504
3.504 3.504 0.000
Gd Y Zn Tc
1 1 1 1
Cartesian
0.000 0.000 0.000
3.504 3.504 3.504
5.256 5.256 5.256
1.752 1.752 1.752
```

Computed properties:
- space-group type = F-43m (216)
- DFT total energy (eV per formula unit) = -32.7
- ΔE_f (meV/atom) = -123.4

***

3.
## Gd2ZnTc (PBE-GGA)

Data for a relaxed Gd2ZnTc crystal.

Structure (POSCAR):
```
Gd2ZnTc
1.0
1.706 0.985 10.317
-1.706 0.985 10.317
0.000 -1.970 10.317
Gd Zn Tc
2 1 1
Cartesian
0.000 0.000 3.120
0.000 0.000 27.831
0.000 0.000 0.000
0.000 0.000 15.475
```

Computed properties:
- space-group type = R-3m (166)
- DFT total energy (eV per formula unit) = -38.5
- ΔE_f (meV/atom) = 336.1

***

4.
## GdZn4Tc (PBE-GGA)

Data for a relaxed GdZn4Tc crystal.

Structure (POSCAR):
```
GdZn4Tc
1.0
0.000 3.656 3.656
3.656 0.000 3.656
3.656 3.656 0.000
Gd Zn Tc
1 4 1
Cartesian
0.000 0.000 0.000
4.559 2.753 2.753
2.753 4.559 2.753
2.753 2.753 4.559
4.559 4.559 4.559
1.828 1.828 1.828
```

Computed properties:
- space-group type = F-43m (216)
- DFT total energy (eV per formula unit) = -30.4
- ΔE_f (meV/atom) = -140.8

***

5.
## Gd2ZnTc (PBE-GGA)

Data for a relaxed Gd2ZnTc crystal.

Structure (POSCAR):
```
Gd2ZnTc
1.0
3.525 0.000 0.000
0.000 3.525 0.000
0.000 0.000 7.124
Gd Zn Tc
2 1 1
Cartesian
0.000 0.000 1.646
0.000 0.000 5.478
1.762 1.762 3.562
1.762 1.762 0.000
```

Computed properties:
- space-group type = P4/mmm (123)
- DFT total energy (eV per formula unit) = -40.4
- ΔE_f (meV/atom) = -143.0

***

6.
## GdZrZnTc (PBE-GGA)

Data for a relaxed GdZrZnTc crystal.

Structure (POSCAR):
```
GdZrZnTc
1.0
0.000 3.417 3.417
3.417 0.000 3.417
3.417 3.417 0.000
Gd Zr Zn Tc
1 1 1 1
Cartesian
0.000 0.000 0.000
3.417 3.417 3.417
5.126 5.126 5.126
1.709 1.709 1.709
```

Computed properties:
- space-group type = F-43m (216)
- DFT total energy (eV per formula unit) = -34.9
- ΔE_f (meV/atom) = -152.2

***

7.
## GdZr2Tc (PBE-GGA)

Data for a relaxed GdZr2Tc crystal.

Structure (POSCAR):
```
GdZr2Tc
1.0
3.346 0.000 0.000
0.000 3.346 0.000
0.000 0.000 8.078
Gd Zr Tc
1 2 1
Cartesian
0.000 0.000 0.000
1.673 1.673 2.479
1.673 1.673 5.599
0.000 0.000 4.039
```

Computed properties:
- space-group type = P4/mmm (123)
- DFT total energy (eV per formula unit) = -42.0
- ΔE_f (meV/atom) = -108.8

***

8.
## GdZr2Tc (PBE-GGA)

Data for a relaxed GdZr2Tc crystal.

Structure (POSCAR):
```
GdZr2Tc
1.0
0.000 3.478 3.478
3.478 0.000 3.478
3.478 3.478 0.000
Gd Zr Tc
1 2 1
Cartesian
0.000 0.000 0.000
1.739 1.739 1.739
5.217 5.217 5.217
3.478 3.478 3.478
```

Computed properties:
- space-group type = Fm-3m (225)
- DFT total energy (eV per formula unit) = -41.2
- ΔE_f (meV/atom) = 91.2